[1]
Computed, not measured: crystalline CoPbN2 at its relaxed geometry at the PBE level of DFT.

Unit cell a=6.628 b=6.628 c=6.628 alpha=26.79 beta=26.79 gamma=26.79
Each line ends with the local moment (μB).
Fractional coordinates of all 4 atoms:
Pb  0.000  0.000  0.000  0.00
Co  0.500  0.500  0.500  0.18
N  0.878  0.878  0.878  0.06
N  0.122  0.122  0.122  0.06

Computed properties:
**Density of states at the Fermi level**: 3.48 states/eV/f.u.
**SG**: No. 166
**Raw formation energy**: 777 meV per atom



[2]
Computed, not measured: crystalline Co2PbN at its relaxed geometry at the PBE level of DFT.

Unit cell a=4.241 b=4.241 c=4.241 alpha=60.00 beta=60.00 gamma=60.00
Each line ends with the local moment (μB).
Fractional coordinates of all 4 atoms:
Pb  0.500  0.500  0.500  -0.07
Co  0.250  0.250  0.250  1.35
Co  0.750  0.750  0.750  1.35
N  0.000  0.000  0.000  0.30

Computed properties:
**Density of states at the Fermi level**: 4.01 states/eV/f.u.
**SG**: No. 225
**Raw formation energy**: 1311 meV per atom
**Excess energy over the best structure of this formula in the dataset**: 1.047 eV per atom



[3]
Computed, not measured: crystalline Co3Pb3N5 at its relaxed geometry at the PBE level of DFT.

Unit cell a=5.824 b=7.518 c=8.060 alpha=107.44 beta=100.01 gamma=97.30
Fractional coordinates of all 22 atoms:
Co  0.922  0.327  0.981
Co  0.078  0.673  0.019
Co  0.676  0.988  0.593
Co  0.324  0.012  0.407
Co  0.120  0.927  0.739
Co  0.880  0.073  0.261
Pb  0.763  0.449  0.574
Pb  0.237  0.551  0.426
Pb  0.639  0.828  0.882
Pb  0.361  0.172  0.118
Pb  0.702  0.669  0.252
Pb  0.298  0.331  0.748
N  0.940  0.141  0.772
N  0.060  0.859  0.228
N  0.828  0.789  0.607
N  0.172  0.211  0.393
N  0.790  0.513  0.895
N  0.210  0.487  0.105
N  0.363  0.975  0.626
N  0.637  0.025  0.374
N  0.192  0.802  0.891
N  0.808  0.198  0.109

Computed properties:
**Density of states at the Fermi level**: 6.73 states/eV/f.u.
**SG**: No. 2
**Raw formation energy**: 508 meV per atom



[4]
Computed, not measured: crystalline CoPb3N3 at its relaxed geometry at the PBE level of DFT.

Unit cell a=10.179 b=10.179 c=3.862 alpha=90.00 beta=90.00 gamma=120.00
Fractional coordinates of all 14 atoms:
Co  0.667  0.333  0.750
Co  0.333  0.667  0.250
Pb  0.921  0.596  0.250
Pb  0.675  0.079  0.250
Pb  0.404  0.325  0.250
Pb  0.079  0.404  0.750
Pb  0.325  0.921  0.750
Pb  0.596  0.675  0.750
N  0.864  0.442  0.750
N  0.578  0.136  0.750
N  0.558  0.422  0.750
N  0.136  0.558  0.250
N  0.422  0.864  0.250
N  0.442  0.578  0.250

Computed properties:
**Density of states at the Fermi level**: 2.54 states/eV/f.u.
**SG**: No. 176
**Raw formation energy**: 530 meV per atom



[5]
Computed, not measured: crystalline Co2PbN at its relaxed geometry at the PBE level of DFT.

Unit cell a=5.218 b=5.218 c=5.800 alpha=63.26 beta=63.26 gamma=90.00
Fractional coordinates of all 8 atoms:
Pb  0.000  0.000  0.000
Pb  0.750  0.250  0.500
Co  0.478  0.125  0.250
Co  0.272  0.625  0.250
Co  0.375  0.522  0.750
Co  0.875  0.728  0.750
N  0.500  0.500  0.000
N  0.250  0.750  0.500

Computed properties:
**Density of states at the Fermi level**: 5.63 states/eV/f.u.
**SG**: No. 122
**Raw formation energy**: 265 meV per atom
**Excess energy over the best structure of this formula in the dataset**: 0.000 eV per atom



[6]
Computed, not measured: crystalline CoPb3N at its relaxed geometry at the PBE level of DFT.

Unit cell a=4.953 b=4.953 c=4.953 alpha=90.00 beta=90.00 gamma=90.00
Fractional coordinates of all 5 atoms:
Pb  0.000  0.500  0.000
Pb  0.000  0.000  0.500
Pb  0.500  0.000  0.000
Co  0.000  0.000  0.000
N  0.500  0.500  0.500

Computed properties:
**Density of states at the Fermi level**: 1.28 states/eV/f.u.
**SG**: No. 221
**Raw formation energy**: 1054 meV per atom
**Excess energy over the best structure of this formula in the dataset**: 0.065 eV per atom



[7]
Computed, not measured: crystalline CoPb3N at its relaxed geometry at the PBE level of DFT.

Unit cell a=4.946 b=4.946 c=4.946 alpha=90.00 beta=90.00 gamma=90.00
Each line ends with the local moment (μB).
Fractional coordinates of all 5 atoms:
Pb  0.000  0.500  0.000  -0.01
Pb  0.000  0.000  0.500  -0.02
Pb  0.500  0.000  0.000  0.00
Co  0.500  0.500  0.500  1.89
N  0.000  0.000  0.000  -0.03

Computed properties:
**Density of states at the Fermi level**: 5.06 states/eV/f.u.
**SG**: No. 221
**Raw formation energy**: 989 meV per atom
**Excess energy over the best structure of this formula in the dataset**: 0.000 eV per atom



[8]
Computed, not measured: crystalline CoPbN2 at its relaxed geometry at the PBE level of DFT.

Unit cell a=6.327 b=6.327 c=6.327 alpha=31.94 beta=31.94 gamma=31.94
Each line ends with the local moment (μB).
Fractional coordinates of all 4 atoms:
Pb  0.500  0.500  0.500  0.03
Co  0.000  0.000  0.000  2.00
N  0.902  0.902  0.902  0.06
N  0.098  0.098  0.098  0.06

Computed properties:
**Density of states at the Fermi level**: 4.63 states/eV/f.u.
**SG**: No. 166
**Raw formation energy**: 1001 meV per atom



[9]
Computed, not measured: crystalline CoPbN2 at its relaxed geometry at the PBE level of DFT.

Unit cell a=5.205 b=5.205 c=5.608 alpha=62.35 beta=62.35 gamma=90.00
Fractional coordinates of all 8 atoms:
Pb  0.000  0.000  0.000
Pb  0.750  0.250  0.500
Co  0.500  0.500  0.000
Co  0.250  0.750  0.500
N  0.512  0.125  0.250
N  0.238  0.625  0.250
N  0.375  0.488  0.750
N  0.875  0.762  0.750

Computed properties:
**Density of states at the Fermi level**: 1.81 states/eV/f.u.
**SG**: No. 122
**Raw formation energy**: 531 meV per atom



[10]
Computed, not measured: crystalline CoPtPb2N at its relaxed geometry at the PBE level of DFT.

Unit cell a=5.271 b=3.453 c=5.271 alpha=90.00 beta=90.00 gamma=90.00
Fractional coordinates of all 5 atoms:
Pb  0.000  0.000  0.500
Pb  0.500  0.000  0.000
Co  0.000  0.500  0.000
Pt  0.500  0.500  0.500
N  0.000  0.000  0.000

Computed properties:
**Density of states at the Fermi level**: 3.96 states/eV/f.u.
**SG**: No. 123
**Raw formation energy**: 289 meV per atom